a) VASP calculation (GGA+U) on a relaxed structure of Cs2ZnNiF6.

The structure in POSCAR format:
```
Cs2ZnNiF6
1.0
3.095 1.787 10.024
-3.095 1.787 10.024
0.000 -3.574 10.024
Cs Zn Ni F
4 2 2 12
direct
0.128 0.128 0.128
0.287 0.287 0.287
0.713 0.713 0.713
0.872 0.872 0.872
0.000 0.000 0.000
0.500 0.500 0.500
0.408 0.408 0.408
0.592 0.592 0.592
0.168 0.597 0.597
0.205 0.205 0.707
0.205 0.707 0.205
0.293 0.795 0.795
0.403 0.403 0.832
0.403 0.832 0.403
0.597 0.168 0.597
0.597 0.597 0.168
0.707 0.205 0.205
0.795 0.293 0.795
0.795 0.795 0.293
0.832 0.403 0.403
```

* space-group type: R-3m

***

b) VASP calculation (GGA+U) on a relaxed structure of Cs2ZnNiF6.

The structure in POSCAR format:
```
Cs2ZnNiF6
1.0
-2.965 2.965 4.912
2.965 -2.965 4.912
2.965 2.965 -4.912
Cs Zn Ni F
2 1 1 6
direct
0.250 0.750 0.500
0.750 0.250 0.500
0.000 0.000 0.000
0.500 0.500 0.000
0.195 0.195 0.000
0.269 0.269 0.538
0.269 0.731 0.000
0.731 0.269 0.000
0.731 0.731 0.462
0.805 0.805 0.000
```

* space-group type: I4/mmm

***

Which of them is least stable? Easy: b).